An optimized crystal structure of LiAlIr. Source: Alexandria via LeMat-Bulk, functional GGA-PBE.

Properties
The formation energy comes out at -0.212 eV/atom. For the density of states at the Fermi level, the calculation gives 0.449 states/eV/atom.

Cell lengths 4.1171, 4.1171, 4.1171 Å; angles 60.00, 60.00, 60.00 degrees
Fractional positions:
Li 0.0000 0.0000 0.0000
Al 0.5000 0.5000 0.5000
Ir 0.7500 0.7500 0.7500

An optimized crystal structure of Mg3Ag4. Source: Alexandria via LeMat-Bulk, functional GGA-PBE.

Properties
The formation energy comes out at -0.211 eV/atom. As for the relative energy among the computed polymorphs: 0.003 eV per atom. For the density of states at the Fermi level, the calculation gives 0.212 states/eV/atom.

Cell lengths 7.4479, 7.4479, 7.4479 Å; angles 113.68, 113.68, 113.68 degrees
Fractional positions:
Mg 0.0537 0.7738 0.6351
Mg 0.2262 0.3649 0.9463
Mg 0.3649 0.9463 0.2262
Mg 0.6351 0.0537 0.7738
Mg 0.7738 0.6351 0.0537
Mg 0.9463 0.2262 0.3649
Ag 0.0000 0.0000 0.0000
Ag 0.1291 0.5696 0.2754
Ag 0.2754 0.1291 0.5696
Ag 0.4304 0.7246 0.8709
Ag 0.5000 0.5000 0.5000
Ag 0.5696 0.2754 0.1291
Ag 0.7246 0.8709 0.4304
Ag 0.8709 0.4304 0.7246

An optimized crystal structure of ZnSiIr2. Source: Alexandria via LeMat-Bulk, functional GGA-PBE.

Properties
The formation energy (no corrections) is 0.136 eV/atom. For the density of states at the Fermi level, the calculation gives 0.770 states/eV/atom.

Cell lengths 2.7831, 2.7831, 8.8125 Å; angles 90.00, 90.00, 120.44 degrees
Fractional positions:
Zn 0.0000 0.0000 0.0000
Si 0.5000 0.5000 0.7425
Ir 0.0000 0.0000 0.5169
Ir 0.5000 0.5000 0.2464

An optimized crystal structure of MnCd2Pt. Source: Alexandria via LeMat-Bulk, functional GGA-PBE.

Properties
The formation energy comes out at -0.099 eV/atom. For the density of states at the Fermi level, the calculation gives 0.546 states/eV/atom.

Cell lengths 5.0392, 5.0392, 5.0392 Å; angles 131.39, 131.39, 71.20 degrees
Fractional positions:
Mn 0.0000 0.0000 0.0000
Cd 0.2500 0.7500 0.5000
Cd 0.7500 0.2500 0.5000
Pt 0.5000 0.5000 0.0000

Which of these has the lowest density of states at the Fermi level?
Mg3Ag4

Copy entry 4 word for word.
An optimized crystal structure of MnCd2Pt. Source: Alexandria via LeMat-Bulk, functional GGA-PBE.

Properties
The formation energy comes out at -0.099 eV/atom. For the density of states at the Fermi level, the calculation gives 0.546 states/eV/atom.

Cell lengths 5.0392, 5.0392, 5.0392 Å; angles 131.39, 131.39, 71.20 degrees
Fractional positions:
Mn 0.0000 0.0000 0.0000
Cd 0.2500 0.7500 0.5000
Cd 0.7500 0.2500 0.5000
Pt 0.5000 0.5000 0.0000